Record 1
## CsLi4Cu3Cl12 (PBE)

Data for a relaxed structure of CsLi4Cu3Cl12.

The structure in CIF format:
```
data_CsLi4Cu3Cl12
_chemical_formula_sum 'Cs2 Li8 Cu6 Cl24'
_space_group_name_H-M_alt 'I m -3'
_space_group_IT_number 204
_space_group_name_Hall '-I 2 2 3'
_cell_length_a 9.555
_cell_length_b 9.555
_cell_length_c 9.555
_cell_angle_alpha 90.00
_cell_angle_beta 90.00
_cell_angle_gamma 90.00
loop_
_atom_site_label
_atom_site_type_symbol
_atom_site_fract_x
_atom_site_fract_y
_atom_site_fract_z
Cs1 Cs 0.000 0.000 0.000
Li1 Li 0.250 0.250 0.250
Cu1 Cu 0.000 0.000 0.500
Cl1 Cl 0.000 0.331 0.166
```

## Properties
**Energy relative to the elements, uncorrected**: -1.11 eV per atom
**Volume**: 21.81 A^3/atom
**Density of states at the Fermi level**: 21.9 states/eV/cell


Record 2
## Rb3V2Cl9 (PBE)

Data for a relaxed structure of Rb3V2Cl9.

The structure in CIF format:
```
data_Rb3V2Cl9
_chemical_formula_sum 'Rb18 V12 Cl54'
_space_group_name_H-M_alt 'R -3 c'
_space_group_IT_number 167
_space_group_name_Hall '-R 3 2"c'
_cell_length_a 12.2682
_cell_length_b 12.2682
_cell_length_c 18.5242
_cell_angle_alpha 90.00
_cell_angle_beta 90.00
_cell_angle_gamma 120.00
loop_
_atom_site_label
_atom_site_type_symbol
_atom_site_fract_x
_atom_site_fract_y
_atom_site_fract_z
Rb1 Rb 0.0000 0.3435 0.2500
V1 V 0.0000 0.0000 0.1669
Cl1 Cl 0.0000 0.1551 0.7500
Cl2 Cl 0.0019 0.1623 0.4000
```

## Properties
**Energy relative to the elements, uncorrected**: -1.59 eV per atom
**Volume**: 28.74 A^3/atom
**Density of states at the Fermi level**: 81.6 states/eV/cell


Record 3
## Rb2GeOsF6 (PBE)

Data for a relaxed structure of Rb2GeOsF6.

The structure in CIF format:
```
data_Rb2GeOsF6
_chemical_formula_sum 'Rb8 Ge4 Os4 F24'
_space_group_name_H-M_alt 'F m -3 m'
_space_group_IT_number 225
_space_group_name_Hall '-F 4 2 3'
_cell_length_a 8.750
_cell_length_b 8.750
_cell_length_c 8.750
_cell_angle_alpha 90.00
_cell_angle_beta 90.00
_cell_angle_gamma 90.00
loop_
_atom_site_label
_atom_site_type_symbol
_atom_site_fract_x
_atom_site_fract_y
_atom_site_fract_z
Rb1 Rb 0.250 0.250 0.250
Ge1 Ge 0.000 0.000 0.000
Os1 Os 0.000 0.000 0.500
F1 F 0.000 0.000 0.254
```

## Properties
**Energy relative to the elements, uncorrected**: -1.84 eV per atom
**Volume**: 16.75 A^3/atom
**Density of states at the Fermi level**: 0.0 states/eV/cell


Record 4
## Pa2GaSi (PBE)

Data for a relaxed structure of Pa2GaSi.

The structure in CIF format:
```
data_Pa2GaSi
_chemical_formula_sum 'Pa2 Ga1 Si1'
_space_group_name_H-M_alt 'P 4/m m m'
_space_group_IT_number 123
_space_group_name_Hall '-P 4 2'
_cell_length_a 4.504
_cell_length_b 4.504
_cell_length_c 4.136
_cell_angle_alpha 90.00
_cell_angle_beta 90.00
_cell_angle_gamma 90.00
loop_
_atom_site_label
_atom_site_type_symbol
_atom_site_fract_x
_atom_site_fract_y
_atom_site_fract_z
Pa1 Pa 0.000 0.500 0.000
Ga1 Ga 0.000 0.000 0.500
Si1 Si 0.500 0.500 0.500
```

## Properties
**Energy relative to the elements, uncorrected**: -0.28 eV per atom
**Volume**: 20.97 A^3/atom
**Excess energy over the best structure of this formula in the dataset**: 11 kJ/mol of formula units
**Density of states at the Fermi level**: 7.3 states/eV/cell